LiCaLa | PBE-GGA | optimized geometry

The energy is -8.63 eV per formula unit. The value obtained for the energy above the most stable polymorph in this dataset is 45 meV/atom. The calculation puts the spin magnetization at 0.0 μB per formula unit. The value obtained for the calculated formation energy is 0.07 eV/atom.

It has space group C2 (No. 5), with a = 6.479 Å, b = 3.740 Å, c = 16.967 Å, α = 90.00°, β = 90.00° and γ = 90.00°. Symmetry generates all atoms from Li at (0.167, 0.000, 0.061), Ca at (0.000, 0.501, 0.222) and La at (0.167, 0.002, 0.587).